## 1
The following is a PBE calculation of crystalline ScHgAsO at its relaxed geometry, from OQMD via LeMat-Bulk.

Results
Magnetic moment in Bohr magnetons per cell: 0.0
Crystal system: tetragonal

Structure (CIF):
```
data_ScHgAsO
_cell_length_a 3.984
_cell_length_b 3.984
_cell_length_c 9.048
_cell_angle_alpha 90.00
_cell_angle_beta 90.00
_cell_angle_gamma 90.00
_symmetry_space_group_name_H-M 'P 4/n m m'
_symmetry_Int_Tables_number 129
loop_
_symmetry_equiv_pos_as_xyz
'x,y,z'
'-x,-y,-z'
'-y+1/2,x,z'
'y+1/2,-x,-z'
'-x+1/2,-y+1/2,z'
'x+1/2,y+1/2,-z'
'y,-x+1/2,z'
'-y,x+1/2,-z'
'x+1/2,-y,-z'
'-x+1/2,y,z'
'-y,-x,-z'
'y,x,z'
'-x,y+1/2,-z'
'x,-y+1/2,z'
'y+1/2,x+1/2,-z'
'-y+1/2,-x+1/2,z'
loop_
_atom_site_label
_atom_site_fract_x
_atom_site_fract_y
_atom_site_fract_z
Sc1 0.250 0.250 0.095
Hg1 0.250 0.750 0.500
As1 0.250 0.250 0.722
O1 0.250 0.750 0.000
```



## 2
The following is a PBE calculation of crystalline ScHgAsO at its relaxed geometry, from OQMD via LeMat-Bulk.

Results
Magnetic moment in Bohr magnetons per cell: 0.0
Crystal system: tetragonal

Structure (CIF):
```
data_ScHgAsO
_cell_length_a 5.508
_cell_length_b 5.508
_cell_length_c 4.840
_cell_angle_alpha 90.00
_cell_angle_beta 90.00
_cell_angle_gamma 90.00
_symmetry_space_group_name_H-M 'P 4/n m m'
_symmetry_Int_Tables_number 129
loop_
_symmetry_equiv_pos_as_xyz
'x,y,z'
'-x,-y,-z'
'-y+1/2,x,z'
'y+1/2,-x,-z'
'-x+1/2,-y+1/2,z'
'x+1/2,y+1/2,-z'
'y,-x+1/2,z'
'-y,x+1/2,-z'
'x+1/2,-y,-z'
'-x+1/2,y,z'
'-y,-x,-z'
'y,x,z'
'-x,y+1/2,-z'
'x,-y+1/2,z'
'y+1/2,x+1/2,-z'
'-y+1/2,-x+1/2,z'
loop_
_atom_site_label
_atom_site_fract_x
_atom_site_fract_y
_atom_site_fract_z
Sc1 0.250 0.750 0.000
Hg1 0.250 0.250 0.493
As1 0.250 0.250 0.993
O1 0.250 0.750 0.500
```



In terms of stability, 1 leads; the second structure lies 0.479 eV/atom higher.